(1)
# BaTl2Cl

Crystalline BaTl2Cl at its relaxed geometry (PBE, the Alexandria database).

```
4
Lattice="7.321 -2.110 0.000 7.321 2.110 0.000 -0.401 0.000 4.643" Properties=species:S:1:pos:R:3 pbc="T T T"
Ba 0.000 0.000 0.000
Tl 3.713 0.000 3.535
Tl 10.529 0.000 1.107
Cl 7.121 0.000 2.321
```

Formation energy without anion corrections, eV per formula unit: -3.45

(2)
# SmZn2

Crystalline SmZn2 at its relaxed geometry (PBE, the Alexandria database).

```
6
Lattice="4.403 -3.665 0.000 4.403 3.665 0.000 -2.353 0.000 3.901" Properties=species:S:1:pos:R:3 pbc="T T T"
Sm 0.782 0.000 1.798
Sm 5.671 0.000 2.103
Zn 3.268 1.434 0.644
Zn 3.185 1.434 3.258
Zn 3.268 -1.434 0.644
Zn 3.185 -1.434 3.258
```

Energy relative to the elements, meV/atom: -369

(3)
# Ba2Pb

Crystalline Ba2Pb at its relaxed geometry (PBE, the Alexandria database).

```
3
Lattice="5.978 0.000 0.000 -2.989 5.177 0.000 0.000 0.000 3.821" Properties=species:S:1:pos:R:3 pbc="T T T"
Ba 0.000 3.451 0.000
Ba 2.989 1.726 0.000
Pb 0.000 0.000 1.911
```

Energy relative to the elements, meV/atom: -239

(4)
# Cr2CoNi

Crystalline Cr2CoNi at its relaxed geometry (PBE, the Alexandria database).

```
4
Lattice="2.487 0.000 0.000 0.000 3.486 0.000 0.000 0.000 5.119" Properties=species:S:1:pos:R:3 pbc="T T T"
Cr 0.000 0.000 0.000
Cr 1.244 1.743 1.426
Co 1.244 1.743 3.974
Ni 0.000 0.000 2.660
```

Energy relative to the elements, meV/atom: 103

(5)
# CdSbN

Crystalline CdSbN at its relaxed geometry (PBE, the Alexandria database).

```
6
Lattice="3.387 0.000 0.000 -1.669 5.581 0.000 -1.647 -1.619 10.749" Properties=species:S:1:pos:R:3 pbc="T T T"
Cd 0.000 0.000 0.000
Cd -1.679 3.618 8.153
Sb 0.031 1.012 8.033
Sb 1.677 2.606 0.128
N -0.324 4.298 4.415
N 1.361 -0.386 3.754
```

Formation energy without anion corrections, eV per formula unit: 0.32

(6)
# TmAl4Pd2Pt

Crystalline TmAl4Pd2Pt at its relaxed geometry (PBE, the Alexandria database).

```
8
Lattice="2.141 1.236 8.674 -2.141 1.236 8.674 0.000 -2.472 8.674" Properties=species:S:1:pos:R:3 pbc="T T T"
Tm 0.000 0.000 0.000
Al 0.000 0.000 3.449
Al 0.000 0.000 10.438
Al 0.000 0.000 15.585
Al 0.000 0.000 22.574
Pd 0.000 0.000 6.403
Pd 0.000 0.000 19.619
Pt 0.000 0.000 13.011
```

Energy relative to the elements, meV/atom: -780

no.,total magnetization (μB/f.u.)
1,0.0
2,0.0
3,0.0
4,0.0
5,0.0
6,0.0